YCoSi2 after structural relaxation. Source: Alexandria via LeMat-Bulk, functional PBE.

Total magnetic moment: 0.00 μB/f.u.
E_form (uncorrected): -0.7895 eV per atom
Mass density: 5.2 Mg/m³

Cell: 3.9826 4.0295 8.3781 Å, 103.91 90.00 90.00°
With the nearest neighbours (Å) after each atom.
Positions (direct):
Y: 0.2500 0.8927 0.7848  10 Si 3.02-3.16, 4 Co 3.06-3.07
Si: 0.2500 0.2506 0.4997  4 Co 2.30-2.32
Co: 0.2500 0.6799 0.3583  5 Si 2.22-2.32
Si: 0.2500 0.5424 0.0848  1 Co 2.22, 2 Si 2.42
Y: 0.7500 0.1073 0.2152  10 Si 3.02-3.16, 4 Co 3.06-3.07
Si: 0.7500 0.4576 0.9152  1 Co 2.22, 2 Si 2.42
Co: 0.7500 0.3201 0.6417  5 Si 2.22-2.32
Si: 0.7500 0.7494 0.5003  4 Co 2.30-2.32